Record 1
{
  "formula": "NaCa2ErTe4",
  "functional": "PBE-GGA",
  "state": "relaxed",
  "lattice_angstrom": [[-4.168, -1.452, 0.748], [2.381, -3.466, 6.544], [-2.198, 7.176, 1.679]],
  "species": ["Na", "Te", "Ca", "Er", "Te", "Te", "Ca", "Te"],
  "frac_coords": [[0.500, 0.500, 0.000], [0.500, 0.759, 0.760], [0.500, 0.000, 0.500], [0.000, 0.000, 0.000], [0.000, 0.759, 0.248], [0.000, 0.241, 0.752], [0.000, 0.500, 0.500], [0.500, 0.241, 0.240]],
  "total_magnetization_mub_per_fu": 0.0,
  "space_group": "No. 10"
}

=====

Record 2
{
  "formula": "LiTcIr2",
  "functional": "PBE-GGA",
  "state": "relaxed",
  "lattice_angstrom": [[2.685, 0.004, 0.000], [-1.242, 2.381, 0.000], [0.000, 0.000, 9.019]],
  "species": ["Ir", "Tc", "Li", "Ir"],
  "frac_coords": [[0.000, 0.000, 0.002], [0.500, 0.500, 0.750], [0.500, 0.500, 0.250], [0.000, 0.000, 0.498]],
  "ef_ev_per_atom": 0.09,
  "total_magnetization_mub_per_fu": 0.0,
  "space_group": "No. 65"
}

=====

Record 3
{
  "formula": "LaPm2Ho9",
  "functional": "PBE-GGA",
  "state": "relaxed",
  "lattice_angstrom": [[-0.873, -0.061, 3.416], [4.608, -10.260, 0.993], [6.289, 9.209, 1.772]],
  "species": ["Ho", "Pm", "La", "Ho", "Ho", "Ho", "Ho", "Ho", "Ho", "Ho", "Pm", "Ho"],
  "frac_coords": [[0.500, 0.177, 0.355], [0.000, 0.667, 0.333], [0.000, 0.000, 0.000], [0.500, 0.823, 0.177], [0.500, 0.355, 0.177], [0.000, 0.500, 0.500], [0.000, 0.000, 0.500], [0.500, 0.823, 0.645], [0.500, 0.177, 0.823], [0.000, 0.500, 0.000], [0.000, 0.333, 0.667], [0.500, 0.645, 0.823]],
  "ef_ev_per_atom": 0.05,
  "total_magnetization_mub_per_fu": 0.0,
  "space_group": "No. 191"
}

=====

Record 4
{
  "formula": "CdB3N",
  "functional": "PBE-GGA",
  "state": "relaxed",
  "lattice_angstrom": [[3.676, 0.000, 0.000], [0.000, 3.676, 0.000], [0.000, 0.000, 3.676]],
  "species": ["B", "B", "B", "Cd", "N"],
  "frac_coords": [[0.000, 0.500, 0.000], [0.000, 0.000, 0.500], [0.500, 0.000, 0.000], [0.500, 0.500, 0.500], [0.000, 0.000, 0.000]],
  "total_magnetization_mub_per_fu": 0.0,
  "space_group": "No. 221"
}

=====

Record 5
{
  "formula": "Nd2SmTmS6",
  "functional": "PBE-GGA",
  "state": "relaxed",
  "lattice_angstrom": [[-6.983, 1.120, -0.308], [-4.060, -1.387, 5.631], [-2.838, 5.732, 3.817]],
  "species": ["S", "Sm", "S", "S", "S", "Nd", "Nd", "Tm", "S", "S"],
  "frac_coords": [[0.116, 0.425, 0.759], [0.814, 0.814, 0.557], [0.205, 0.938, 0.254], [0.938, 0.602, 0.255], [0.700, 0.116, 0.759], [0.020, 0.021, 0.939], [0.523, 0.523, 0.432], [0.317, 0.317, 0.048], [0.425, 0.700, 0.759], [0.602, 0.205, 0.255]],
  "total_magnetization_mub_per_fu": 0.0,
  "space_group": "No. 146"
}

=====

Record 6
{
  "formula": "SrInGa2Rh",
  "functional": "PBE-GGA",
  "state": "relaxed",
  "lattice_angstrom": [[-4.409, 2.014, 0.076], [-0.108, -0.419, 4.828], [2.146, 4.682, 0.454]],
  "species": ["Sr", "Ga", "In", "Rh", "Ga"],
  "frac_coords": [[0.500, 0.500, 0.500], [0.500, 0.000, 0.000], [0.000, 0.000, 0.500], [0.000, 0.000, 0.000], [0.000, 0.500, 0.000]],
  "ef_ev_per_atom": -0.39,
  "total_magnetization_mub_per_fu": 0.0,
  "space_group": "No. 123"
}

=====

Record 7
{
  "formula": "LaNbH",
  "functional": "PBE-GGA",
  "state": "relaxed",
  "lattice_angstrom": [[-2.393, -0.526, 2.001], [-2.121, -2.586, -0.821], [2.085, -3.309, 3.879]],
  "species": ["H", "Nb", "La"],
  "frac_coords": [[0.011, 0.179, 0.789], [0.353, 0.302, 0.007], [0.872, 0.767, 0.478]],
  "total_magnetization_mub_per_fu": 0.0,
  "space_group": "No. 1"
}

=====

Record 8
{
  "formula": "OsRu2W",
  "functional": "PBE-GGA",
  "state": "relaxed",
  "lattice_angstrom": [[3.854, 0.000, 0.000], [0.000, 3.885, 0.000], [0.000, 0.000, 3.885]],
  "species": ["Ru", "Ru", "Os", "W"],
  "frac_coords": [[0.000, 0.500, 0.500], [0.000, 0.000, 0.000], [0.500, 0.000, 0.500], [0.500, 0.500, 0.000]],
  "ef_ev_per_atom": -0.01,
  "total_magnetization_mub_per_fu": 0.0,
  "space_group": "No. 123"
}

=====

no.,uncorrected energy (eV per atom)
1,-4.2441
2,-7.4149
3,-4.5844
4,-3.8922
5,-6.3752
6,-3.9541
7,-5.9432
8,-10.6979